Record 1
8
Lattice="7.032 0.000 0.000 0.000 4.122 0.000 -2.370 0.000 7.001" Properties=species:S:1:pos:R:3 comment="Tb4GeAuSe2 | the Alexandria database | PBE | optimized geometry" formation_energy_uncorrected_ev_per_fu=-10.5 magmom_total_mub_per_fu=0.00 density_g_cm3=8.7 energy_ev_per_atom=-5.4915 pbc="T T T"
Tb 1.120 0.000 1.715
Tb -0.042 2.061 5.243
Tb 4.704 2.061 1.758
Tb 3.542 0.000 5.286
Ge 0.000 2.061 0.000
Au 3.516 0.000 0.000
Se -1.185 0.000 3.500
Se 2.331 2.061 3.500

Record 2
16
Lattice="4.137 2.388 6.843 -4.137 2.388 6.843 0.000 -4.776 6.843" Properties=species:S:1:pos:R:3 comment="Tb8Ge3AuSe4 | the Alexandria database | PBE | optimized geometry" formation_energy_uncorrected_ev_per_fu=-21.7 magmom_total_mub_per_fu=0.00 density_g_cm3=8.2 energy_ev_per_atom=-5.6111 pbc="T T T"
Tb -2.118 -1.223 11.937
Tb 0.000 0.000 5.051
Tb 0.000 -2.446 8.592
Tb -2.118 1.223 8.592
Tb 2.118 -1.223 11.937
Tb 0.000 2.446 11.937
Tb 0.000 0.000 15.478
Tb 2.118 1.223 8.592
Ge -4.137 0.000 10.264
Ge -2.068 1.194 3.421
Ge 2.068 1.194 3.421
Au 0.000 0.000 10.264
Se 0.000 0.000 0.000
Se -2.068 -1.194 6.843
Se -2.068 1.194 13.686
Se 0.000 2.388 6.843

Record 3
5
Lattice="4.722 0.000 0.000 0.000 4.722 0.000 0.000 0.000 5.247" Properties=species:S:1:pos:R:3 comment="TcGe2AuSe | the Alexandria database | PBE | optimized geometry" formation_energy_uncorrected_ev_per_fu=3.2 magmom_total_mub_per_fu=0.00 density_g_cm3=7.4 energy_ev_per_atom=-4.6397 pbc="T T T"
Tc 0.000 0.000 0.000
Ge 0.000 2.361 0.000
Ge 2.361 0.000 0.000
Au 0.000 0.000 2.623
Se 2.361 2.361 2.623

Record 4
4
Lattice="3.576 -2.068 0.000 3.576 2.068 0.000 -0.015 0.000 7.716" Properties=species:S:1:pos:R:3 comment="GeTeAuSe | the Alexandria database | PBE | optimized geometry" formation_energy_uncorrected_ev_per_fu=-0.1 magmom_total_mub_per_fu=0.00 density_g_cm3=6.9 energy_ev_per_atom=-3.6651 pbc="T T T"
Ge 0.000 0.000 0.000
Te 4.766 0.000 3.711
Au 0.001 0.000 2.517
Se 2.369 0.000 6.527

Record 5
8
Lattice="7.299 0.000 0.000 0.000 4.269 0.000 -2.514 0.000 7.106" Properties=species:S:1:pos:R:3 comment="Th4GeAuSe2 | the Alexandria database | PBE | optimized geometry" formation_energy_uncorrected_ev_per_fu=-9.0 magmom_total_mub_per_fu=0.00 density_g_cm3=10.2 energy_ev_per_atom=-6.6869 pbc="T T T"
Th 1.172 0.000 1.731
Th -0.103 2.134 5.334
Th 3.613 0.000 5.374
Th 4.888 2.134 1.772
Ge 0.000 2.134 0.000
Au -1.257 0.000 3.553
Se 3.649 0.000 0.000
Se 2.392 2.134 3.553

Record 6
16
Lattice="4.307 2.487 6.853 -4.307 2.487 6.853 0.000 -4.974 6.853" Properties=species:S:1:pos:R:3 comment="Th8Ge3AuSe4 | the Alexandria database | PBE | optimized geometry" formation_energy_uncorrected_ev_per_fu=-18.7 magmom_total_mub_per_fu=0.00 density_g_cm3=9.8 energy_ev_per_atom=-6.8221 pbc="T T T"
Th -2.175 -1.255 11.952
Th 0.000 0.000 5.084
Th 0.000 -2.511 8.608
Th -2.175 1.255 8.608
Th 2.175 -1.255 11.952
Th 0.000 2.511 11.952
Th 0.000 0.000 15.475
Th 2.175 1.255 8.607
Ge -4.307 0.000 10.280
Ge -2.154 1.243 3.427
Ge 2.154 1.243 3.427
Au 0.000 0.000 10.280
Se 0.000 0.000 0.000
Se -2.154 -1.243 6.853
Se -2.154 1.243 13.706
Se 0.000 2.487 6.853

Record 7
5
Lattice="4.952 0.000 0.000 0.000 4.952 0.000 0.000 0.000 5.092" Properties=species:S:1:pos:R:3 comment="TiGeAu2Se | the Alexandria database | PBE | optimized geometry" formation_energy_uncorrected_ev_per_fu=3.8 magmom_total_mub_per_fu=0.00 density_g_cm3=7.9 energy_ev_per_atom=-3.7586 pbc="T T T"
Ti 0.000 0.000 0.000
Ge 0.000 0.000 2.546
Au 0.000 2.476 0.000
Au 2.476 0.000 0.000
Se 2.476 2.476 2.546

Record 8
8
Lattice="-3.456 3.663 4.278 3.456 -3.663 4.278 3.456 3.663 -4.278" Properties=species:S:1:pos:R:3 comment="TlGeAu2Se4 | the Alexandria database | PBE | optimized geometry" formation_energy_uncorrected_ev_per_fu=-1.5 magmom_total_mub_per_fu=0.00 density_g_cm3=7.6 energy_ev_per_atom=-3.6281 pbc="T T T"
Tl 0.000 0.000 0.000
Ge 0.000 0.000 4.278
Au 3.456 0.000 2.823
Au 0.000 3.663 1.455
Se 2.059 2.236 -1.351
Se 1.396 -1.427 5.628
Se 1.396 1.427 2.927
Se 2.059 5.090 1.351

Record 9
16
Lattice="4.059 2.343 6.746 -4.059 2.343 6.746 0.000 -4.687 6.746" Properties=species:S:1:pos:R:3 comment="Tm8Ge3AuSe4 | the Alexandria database | PBE | optimized geometry" formation_energy_uncorrected_ev_per_fu=-20.8 magmom_total_mub_per_fu=0.00 density_g_cm3=9.0 energy_ev_per_atom=-5.4782 pbc="T T T"
Tm -2.072 -1.196 11.750
Tm 0.000 0.000 4.960
Tm 0.000 -2.392 8.489
Tm -2.072 1.196 8.489
Tm 2.072 -1.196 11.750
Tm 0.000 2.392 11.750
Tm 0.000 0.000 15.280
Tm 2.072 1.196 8.489
Ge -4.059 0.000 10.120
Ge -2.029 1.172 3.373
Ge 2.029 1.172 3.373
Au 0.000 0.000 10.120
Se 0.000 0.000 0.000
Se -2.029 -1.172 6.746
Se -2.029 1.172 13.493
Se 0.000 2.343 6.746

Record 10
8
Lattice="-2.889 2.889 5.761 2.889 -2.889 5.761 2.889 2.889 -5.761" Properties=species:S:1:pos:R:3 comment="Tm4GeAuSe2 | the Alexandria database | PBE | optimized geometry" formation_energy_uncorrected_ev_per_fu=-9.9 magmom_total_mub_per_fu=0.00 density_g_cm3=9.5 energy_ev_per_atom=-5.3360 pbc="T T T"
Tm 0.000 0.000 2.848
Tm 0.000 2.889 0.035
Tm 0.000 0.000 8.675
Tm 0.000 2.889 5.726
Ge 0.000 2.889 2.881
Au 0.000 0.000 5.761
Se 0.000 0.000 0.000
Se 2.889 0.000 2.881

Record 11
8
Lattice="4.334 0.000 0.000 0.000 4.334 0.000 0.000 0.000 8.806" Properties=species:S:1:pos:R:3 comment="UGeAuSe | the Alexandria database | PBE | optimized geometry" formation_energy_uncorrected_ev_per_fu=-1.8 magmom_total_mub_per_fu=1.45 density_g_cm3=11.8 energy_ev_per_atom=-6.1054 pbc="T T T"
U 1.084 1.084 1.922
U 3.251 3.251 6.883
Ge 1.084 1.084 6.076
Ge 3.251 3.251 2.730
Au 1.084 3.251 4.403
Au 3.251 1.084 4.403
Se 1.084 3.251 0.000
Se 3.251 1.084 0.000

Record 12
5
Lattice="4.718 0.000 0.000 0.000 4.718 0.000 0.000 0.000 4.678" Properties=species:S:1:pos:R:3 comment="V2GeAuSe | the Alexandria database | PBE | optimized geometry" formation_energy_uncorrected_ev_per_fu=4.7 magmom_total_mub_per_fu=0.01 density_g_cm3=7.2 energy_ev_per_atom=-4.9898 pbc="T T T"
V 0.000 2.359 0.000
V 2.359 0.000 0.000
Ge 0.000 0.000 0.000
Au 0.000 0.000 2.339
Se 2.359 2.359 2.339

Please write out number 10 again, unchanged.
8
Lattice="-2.889 2.889 5.761 2.889 -2.889 5.761 2.889 2.889 -5.761" Properties=species:S:1:pos:R:3 comment="Tm4GeAuSe2 | the Alexandria database | PBE | optimized geometry" formation_energy_uncorrected_ev_per_fu=-9.9 magmom_total_mub_per_fu=0.00 density_g_cm3=9.5 energy_ev_per_atom=-5.3360 pbc="T T T"
Tm 0.000 0.000 2.848
Tm 0.000 2.889 0.035
Tm 0.000 0.000 8.675
Tm 0.000 2.889 5.726
Ge 0.000 2.889 2.881
Au 0.000 0.000 5.761
Se 0.000 0.000 0.000
Se 2.889 0.000 2.881